(1)
## Sc2CuRh (SCAN)

Data for a PBEsol-optimized structure of Sc2CuRh.

The space group is I-4m2 (No. 119) and the conventional cell measures 3.8444, 3.8444 and 8.8429 Å, with angles of 90.00, 90.00 and 90.00 degrees. The asymmetric unit holds Sc at (0.0000, 0.0000, 0.0000), Sc at (0.0000, 0.5000, 0.2500), Cu at (0.0000, 0.0000, 0.5000) and Rh at (0.0000, 0.5000, 0.7500).

As for the density of states at the Fermi level: 6.3 states/eV per cell. As for the energy relative to the elements: -0.53 eV/atom. For the volume, the calculation gives 16.34 Å³/atom.

(2)
## Sc3CuRh (SCAN)

Data for a PBEsol-optimized structure of Sc3CuRh.

The space group is Pm-3m (No. 221) and the conventional cell measures 4.8964, 4.8964 and 4.8964 Å, with angles of 90.00, 90.00 and 90.00 degrees. The asymmetric unit holds Sc at (0.0000, 0.0000, 0.5000), Cu at (0.5000, 0.5000, 0.5000) and Rh at (0.0000, 0.0000, 0.0000).

As for the density of states at the Fermi level: 3.2 states/eV per cell. As for the energy relative to the elements: -0.05 eV/atom. For the volume, the calculation gives 23.48 Å³/atom. The value obtained for the relative energy among the computed polymorphs is 0.000 eV/f.u.

(3)
## ScCu2Rh (SCAN)

Data for a PBEsol-optimized structure of ScCu2Rh.

The space group is I-4m2 (No. 119) and the conventional cell measures 3.8483, 3.8483 and 7.4861 Å, with angles of 90.00, 90.00 and 90.00 degrees. The asymmetric unit holds Sc at (0.0000, 0.0000, 0.0000), Cu at (0.0000, 0.0000, 0.5000), Cu at (0.0000, 0.5000, 0.2500) and Rh at (0.0000, 0.5000, 0.7500).

As for the density of states at the Fermi level: 2.6 states/eV per cell. As for the energy relative to the elements: -0.44 eV/atom. For the volume, the calculation gives 13.86 Å³/atom.

(4)
## Sc2CuRh (SCAN)

Data for a PBEsol-optimized structure of Sc2CuRh.

The space group is Fm-3m (No. 225) and the conventional cell measures 6.4028, 6.4028 and 6.4028 Å, with angles of 90.00, 90.00 and 90.00 degrees. The asymmetric unit holds Sc at (0.2500, 0.2500, 0.2500), Cu at (0.0000, 0.0000, 0.0000) and Rh at (0.0000, 0.0000, 0.5000).

As for the density of states at the Fermi level: 9.2 states/eV per cell. As for the energy relative to the elements: -0.75 eV/atom. For the volume, the calculation gives 16.41 Å³/atom.

(5)
## Sc3CuRh (SCAN)

Data for a PBEsol-optimized structure of Sc3CuRh.

The space group is Pm-3m (No. 221) and the conventional cell measures 4.7316, 4.7316 and 4.7316 Å, with angles of 90.00, 90.00 and 90.00 degrees. The asymmetric unit holds Sc at (0.0000, 0.0000, 0.5000), Cu at (0.0000, 0.0000, 0.0000) and Rh at (0.5000, 0.5000, 0.5000).

As for the density of states at the Fermi level: 5.1 states/eV per cell. As for the energy relative to the elements: 0.22 eV/atom. For the volume, the calculation gives 21.19 Å³/atom. The value obtained for the relative energy among the computed polymorphs is 1.342 eV/f.u.

(6)
## ScCu2Rh (SCAN)

Data for a PBEsol-optimized structure of ScCu2Rh.

The space group is I4/mmm (No. 139) and the conventional cell measures 3.6637, 3.6637 and 8.1439 Å, with angles of 90.00, 90.00 and 90.00 degrees. The asymmetric unit holds Sc at (0.0000, 0.0000, 0.0000), Cu at (0.0000, 0.5000, 0.2500) and Rh at (0.0000, 0.0000, 0.5000).

As for the density of states at the Fermi level: 2.3 states/eV per cell. As for the energy relative to the elements: -0.49 eV/atom. For the volume, the calculation gives 13.66 Å³/atom.

(7)
## Sc2CuRh (SCAN)

Data for a PBEsol-optimized structure of Sc2CuRh.

The space group is P4/mmm (No. 123) and the conventional cell measures 4.5543, 4.5543 and 3.1543 Å, with angles of 90.00, 90.00 and 90.00 degrees. The asymmetric unit holds Sc at (0.0000, 0.5000, 0.0000), Cu at (0.0000, 0.0000, 0.5000) and Rh at (0.5000, 0.5000, 0.5000).

As for the density of states at the Fermi level: 1.9 states/eV per cell. As for the energy relative to the elements: -0.74 eV/atom. For the volume, the calculation gives 16.36 Å³/atom.

(8)
## CuRhSe4 (SCAN)

Data for a PBEsol-optimized structure of CuRhSe4.

The space group is F-43m (No. 216) and the conventional cell measures 7.6473, 7.6473 and 7.6473 Å, with angles of 90.00, 90.00 and 90.00 degrees. The asymmetric unit holds Cu at (0.0000, 0.0000, 0.0000), Rh at (0.2500, 0.2500, 0.2500) and Se at (0.1246, 0.1246, 0.6246).

As for the density of states at the Fermi level: 16.0 states/eV per cell. For the volume, the calculation gives 18.63 Å³/atom. For the energy, the calculation gives -20.470 eV per atom.

(9)
## CuRh2Se (SCAN)

Data for a PBEsol-optimized structure of CuRh2Se.

The space group is Cm (No. 8) and the conventional cell measures 9.1564, 2.9215 and 4.3350 Å, with angles of 90.00, 108.40 and 90.00 degrees. The asymmetric unit holds Cu at (0.0000, 0.0000, 0.0000), Rh at (0.0287, 0.5000, 0.5185), Rh at (0.2500, 0.5000, 0.1581) and Se at (0.2620, 0.0000, 0.6378).

As for the density of states at the Fermi level: 7.6 states/eV per cell. For the volume, the calculation gives 13.75 Å³/atom. For the energy, the calculation gives -25.621 eV per atom.

(10)
## CuSiRh (SCAN)

Data for a PBEsol-optimized structure of CuSiRh.

The space group is F-43m (No. 216) and the conventional cell measures 5.4860, 5.4860 and 5.4860 Å, with angles of 90.00, 90.00 and 90.00 degrees. The asymmetric unit holds Cu at (0.0000, 0.0000, 0.0000), Si at (0.2500, 0.2500, 0.7500) and Rh at (0.0000, 0.0000, 0.5000).

As for the density of states at the Fermi level: 6.3 states/eV per cell. For the volume, the calculation gives 13.76 Å³/atom. For the energy, the calculation gives -20.135 eV per atom.

(11)
## CuSiRh (SCAN)

Data for a PBEsol-optimized structure of CuSiRh.

The space group is Imm2 (No. 44) and the conventional cell measures 2.8145, 3.1155 and 8.4315 Å, with angles of 90.00, 90.00 and 90.00 degrees. The asymmetric unit holds Cu at (0.0000, 0.0000, 0.0000), Si at (0.0000, 0.0000, 0.3425) and Rh at (0.0000, 0.0000, 0.6938).

As for the density of states at the Fermi level: 2.2 states/eV per cell. For the volume, the calculation gives 12.32 Å³/atom. For the energy, the calculation gives -20.082 eV per atom.

(12)
## CuSiRh3 (SCAN)

Data for a PBEsol-optimized structure of CuSiRh3.

The space group is Pm-3m (No. 221) and the conventional cell measures 4.3596, 4.3596 and 4.3596 Å, with angles of 90.00, 90.00 and 90.00 degrees. The asymmetric unit holds Cu at (0.0000, 0.0000, 0.0000), Si at (0.5000, 0.5000, 0.5000) and Rh at (0.0000, 0.0000, 0.5000).

As for the density of states at the Fermi level: 6.0 states/eV per cell. For the volume, the calculation gives 16.57 Å³/atom. For the energy, the calculation gives -24.057 eV per atom.

(13)
## TiCuSn2Rh (SCAN)

Data for a PBEsol-optimized structure of TiCuSn2Rh.

The space group is P4/mmm (No. 123) and the conventional cell measures 4.7085, 4.7085 and 4.5259 Å, with angles of 90.00, 90.00 and 90.00 degrees. The asymmetric unit holds Ti at (0.0000, 0.0000, 0.0000), Cu at (0.0000, 0.0000, 0.5000), Sn at (0.0000, 0.5000, 0.5000) and Rh at (0.5000, 0.5000, 0.0000).

As for the density of states at the Fermi level: 4.3 states/eV per cell. As for the energy relative to the elements: 0.66 eV/atom. For the volume, the calculation gives 20.07 Å³/atom.

(14)
## SrCuRh2 (SCAN)

Data for a PBEsol-optimized structure of SrCuRh2.

The space group is I-4m2 (No. 119) and the conventional cell measures 4.2560, 4.2560 and 7.4122 Å, with angles of 90.00, 90.00 and 90.00 degrees. The asymmetric unit holds Sr at (0.0000, 0.0000, 0.0000), Cu at (0.0000, 0.5000, 0.2500), Rh at (0.0000, 0.0000, 0.5000) and Rh at (0.0000, 0.5000, 0.7500).

As for the density of states at the Fermi level: 6.7 states/eV per cell. As for the energy relative to the elements: 0.30 eV/atom. For the volume, the calculation gives 16.78 Å³/atom. The value obtained for the relative energy among the computed polymorphs is 0.442 eV/f.u.

(15)
## SrCu2Rh (SCAN)

Data for a PBEsol-optimized structure of SrCu2Rh.

The space group is P4mm (No. 99) and the conventional cell measures 3.1658, 3.1658 and 6.7655 Å, with angles of 90.00, 90.00 and 90.00 degrees. The asymmetric unit holds Sr at (0.0000, 0.0000, 0.0000), Cu at (0.0000, 0.0000, 0.4996), Cu at (0.5000, 0.5000, 0.3348) and Rh at (0.5000, 0.5000, 0.7005).

As for the density of states at the Fermi level: 2.2 states/eV per cell. As for the energy relative to the elements: 0.18 eV/atom. For the volume, the calculation gives 16.95 Å³/atom. The value obtained for the relative energy among the computed polymorphs is 1.299 eV/f.u.

(16)
## SrCu2Rh (SCAN)

Data for a PBEsol-optimized structure of SrCu2Rh.

The space group is C2/m (No. 12) and the conventional cell measures 7.3043, 4.2190 and 5.6235 Å, with angles of 90.00, 115.87 and 90.00 degrees. The asymmetric unit holds Sr at (0.0000, 0.0000, 0.0000), Cu at (0.1914, 0.0000, 0.5738) and Rh at (0.0000, 0.5000, 0.5000).

As for the density of states at the Fermi level: 4.3 states/eV per cell. As for the energy relative to the elements: -0.15 eV/atom. For the volume, the calculation gives 19.49 Å³/atom. The value obtained for the relative energy among the computed polymorphs is 0.000 eV/f.u.

(17)
## SrCu2Rh (SCAN)

Data for a PBEsol-optimized structure of SrCu2Rh.

The space group is R3m (No. 160, hexagonal axes) and the conventional cell measures 4.2307, 4.2307 and 15.2948 Å, with angles of 90.00, 90.00 and 120.00 degrees. The asymmetric unit holds Sr at (0.0000, 0.0000, 0.0000), Cu at (0.0000, 0.0000, 0.5032), Cu at (0.0000, 0.0000, 0.8129) and Rh at (0.0000, 0.0000, 0.1890).

As for the density of states at the Fermi level: 6.1 states/eV per cell. As for the energy relative to the elements: -0.14 eV/atom. For the volume, the calculation gives 19.76 Å³/atom. The value obtained for the relative energy among the computed polymorphs is 0.029 eV/f.u.

(18)
## SrCuRh2 (SCAN)

Data for a PBEsol-optimized structure of SrCuRh2.

The space group is P4mm (No. 99) and the conventional cell measures 3.2087, 3.2087 and 6.8420 Å, with angles of 90.00, 90.00 and 90.00 degrees. The asymmetric unit holds Sr at (0.0000, 0.0000, 0.0000), Cu at (0.5000, 0.5000, 0.3175), Rh at (0.0000, 0.0000, 0.4924) and Rh at (0.5000, 0.5000, 0.6863).

As for the density of states at the Fermi level: 4.1 states/eV per cell. As for the energy relative to the elements: 0.19 eV/atom. For the volume, the calculation gives 17.61 Å³/atom. The value obtained for the relative energy among the computed polymorphs is 0.000 eV/f.u.

(19)
## TaCuRh2 (SCAN)

Data for a PBEsol-optimized structure of TaCuRh2.

The space group is I4/mmm (No. 139) and the conventional cell measures 4.0240, 4.0240 and 6.8925 Å, with angles of 90.00, 90.00 and 90.00 degrees. The asymmetric unit holds Ta at (0.0000, 0.0000, 0.0000), Cu at (0.0000, 0.0000, 0.5000) and Rh at (0.0000, 0.5000, 0.2500).

As for the density of states at the Fermi level: 3.4 states/eV per cell. As for the energy relative to the elements: -0.51 eV/atom. For the volume, the calculation gives 13.95 Å³/atom.

(20)
## TaCu4Rh (SCAN)

Data for a PBEsol-optimized structure of TaCu4Rh.

The space group is F-43m (No. 216) and the conventional cell measures 6.6771, 6.6771 and 6.6771 Å, with angles of 90.00, 90.00 and 90.00 degrees. The asymmetric unit holds Ta at (0.0000, 0.0000, 0.0000), Cu at (0.1247, 0.1247, 0.6247) and Rh at (0.2500, 0.2500, 0.2500).

As for the density of states at the Fermi level: 5.1 states/eV per cell. As for the energy relative to the elements: -0.16 eV/atom. For the volume, the calculation gives 12.40 Å³/atom.